No. 1
! PBE NdSmTh3, relaxed; values from VASP
&SYSTEM
  ibrav = 0, nat = 10, ntyp = 3
/
ATOMIC_SPECIES
Th 232.04 Th.upf
Sm 150.36 Sm.upf
Nd 144.24 Nd.upf
CELL_PARAMETERS angstrom
-3.411 -0.131 4.969
-6.513 -8.823 -4.703
8.048 1.117 1.897
ATOMIC_POSITIONS angstrom
Th -5.243 -7.188 -1.960
Th 0.110 -5.060 1.771
Th 3.367 -0.648 4.123
Th 0.768 -3.853 -1.403
Th -1.986 -2.777 0.392
Th 4.024 0.558 0.949
Sm 1.375 -1.686 1.259
Sm -3.251 -6.150 0.903
Nd -3.256 -4.411 -2.352
Nd -1.706 -0.065 2.484
! ΔE_f ... 1.8 eV per formula unit
! Size of the total moment ... 0.00 Bohr magnetons per cell
! Volume ... 359 Å³/cell

---

No. 2
! PBE ZnTeIr2, relaxed; values from VASP
&SYSTEM
  ibrav = 0, nat = 8, ntyp = 3
/
ATOMIC_SPECIES
Te 127.60 Te.upf
Zn 65.41 Zn.upf
Ir 192.22 Ir.upf
CELL_PARAMETERS angstrom
5.754 0.000 0.000
0.000 5.754 0.000
2.877 2.877 5.710
ATOMIC_POSITIONS angstrom
Te 5.754 2.877 2.855
Te 0.000 0.000 0.000
Zn 2.877 5.754 2.855
Zn 2.877 2.877 0.000
Ir 4.264 1.439 1.427
Ir 1.490 4.316 1.427
Ir 4.316 4.368 4.282
Ir 7.193 7.141 4.282
! Distance to the lowest polymorph of the same formula ... 444 meV per atom
! Size of the total moment ... 0.00 Bohr magnetons per cell
! Energy relative to the elements, uncorrected ... 0.63 eV/atom
! Volume ... 189 Å³/cell

---

No. 3
! PBE Tb3DyTm7, relaxed; values from VASP
&SYSTEM
  ibrav = 0, nat = 11, ntyp = 3
/
ATOMIC_SPECIES
Tm 168.93 Tm.upf
Tb 158.93 Tb.upf
Dy 162.50 Dy.upf
CELL_PARAMETERS angstrom
-2.993 7.925 -0.713
-4.795 -1.375 4.845
6.209 2.513 1.868
ATOMIC_POSITIONS angstrom
Tm 1.624 2.121 4.691
Tm -1.485 0.870 3.767
Tm -1.201 4.067 4.956
Tm -1.904 3.501 1.619
Tm -4.288 2.817 4.027
Tm 4.009 2.805 2.282
Tm 0.921 1.555 1.353
Tb -4.742 5.523 1.865
Tb -4.036 6.092 5.218
Tb -1.640 6.779 2.798
Dy 1.203 4.758 2.541
! ΔE_f ... 2.1 eV per formula unit
! Distance to the lowest polymorph of the same formula ... 31 meV per atom
! Size of the total moment ... 0.00 Bohr magnetons per cell
! Volume ... 356 Å³/cell

---

No. 4
! PBE Ac4SmY2, relaxed; values from VASP
&SYSTEM
  ibrav = 0, nat = 14, ntyp = 3
/
ATOMIC_SPECIES
Ac 227.00 Ac.upf
Y 88.91 Y.upf
Sm 150.36 Sm.upf
CELL_PARAMETERS angstrom
-4.620 -1.832 -5.233
7.079 -1.385 -0.252
-3.218 -9.679 8.424
ATOMIC_POSITIONS angstrom
Ac 0.807 -9.788 3.547
Ac -4.665 -5.448 -2.025
Ac 3.424 -9.917 6.317
Ac -0.785 -6.593 5.073
Ac -1.077 -1.827 0.052
Ac 2.196 -3.561 -0.193
Ac -2.757 -8.528 2.595
Ac -0.871 -5.074 -2.065
Y -2.951 -2.047 -3.151
Y 2.830 -6.605 4.209
Y -2.818 -5.194 1.163
Y -0.164 -9.871 7.190
Sm 0.541 -6.707 1.266
Sm -2.462 -11.600 4.885
! ΔE_f ... 0.6 eV per formula unit
! Size of the total moment ... 0.00 Bohr magnetons per cell
! Volume ... 555 Å³/cell

---

No. 5
! PBE AcAg2Sn3, relaxed; values from VASP
&SYSTEM
  ibrav = 0, nat = 12, ntyp = 3
/
ATOMIC_SPECIES
Ag 107.87 Ag.upf
Sn 118.71 Sn.upf
Ac 227.00 Ac.upf
CELL_PARAMETERS angstrom
4.648 0.000 -0.755
-0.123 4.646 -0.755
0.028 0.029 14.857
ATOMIC_POSITIONS angstrom
Ag 3.469 1.176 6.673
Ag 1.084 3.499 6.673
Ag 1.816 1.865 11.181
Ag 2.737 2.810 2.166
Sn 2.553 0.235 1.031
Sn 2.000 4.440 12.316
Sn 3.163 3.247 4.787
Sn 4.386 2.117 12.316
Sn 0.167 2.558 1.031
Sn 1.390 1.428 8.560
Ac 0.694 0.713 4.274
Ac 3.859 3.962 9.072
! ΔE_f ... -2.1 eV per formula unit
! Distance to the lowest polymorph of the same formula ... 0 meV per atom
! Size of the total moment ... 0.00 Bohr magnetons per cell
! Volume ... 321 Å³/cell

---

No. 6
! PBE Be2PRh, relaxed; values from VASP
&SYSTEM
  ibrav = 0, nat = 4, ntyp = 3
/
ATOMIC_SPECIES
Rh 102.91 Rh.upf
Be 9.01 Be.upf
P 30.97 P.upf
CELL_PARAMETERS angstrom
-1.295 -0.783 -2.364
1.804 -2.718 -0.088
-3.303 -2.275 2.563
ATOMIC_POSITIONS angstrom
Rh -2.234 -3.464 0.704
Be -0.070 -0.049 0.055
Be -0.553 -2.307 -0.599
P -1.588 -1.094 1.232
! ΔE_f ... -0.8 eV per formula unit
! Size of the total moment ... 0.00 Bohr magnetons per cell
! Volume ... 44 Å³/cell

---

No. 7
! PBE Cu4Bi5PbS11, relaxed; values from VASP
&SYSTEM
  ibrav = 0, nat = 42, ntyp = 4
/
ATOMIC_SPECIES
S 32.06 S.upf
Bi 208.98 Bi.upf
Cu 63.55 Cu.upf
Pb 207.20 Pb.upf
CELL_PARAMETERS angstrom
-1.728 -3.515 0.112
7.523 -1.350 5.149
-14.730 7.935 21.701
ATOMIC_POSITIONS angstrom
S -11.765 4.213 19.201
S -4.254 2.681 18.468
S -10.115 3.506 22.475
S -7.897 2.501 25.112
S -1.037 0.569 1.851
S 1.180 -0.437 4.488
S -0.158 0.525 14.021
S -8.777 2.544 12.942
S -1.067 -1.427 7.274
S 4.314 -1.999 3.811
S 2.830 -1.143 7.761
S -13.249 5.069 23.152
S -4.116 0.326 15.240
S -2.559 1.434 5.499
S -7.868 4.497 19.688
S -9.978 3.255 16.715
S -6.376 1.636 21.464
S -4.819 2.743 11.722
S -2.445 -0.619 11.370
S 1.043 -0.185 10.248
S -6.489 3.688 15.592
S -4.681 0.388 8.495
Bi -7.583 4.443 22.397
Bi -11.534 6.336 20.845
Bi -2.387 1.588 12.977
Bi -2.131 1.306 8.083
Bi 2.600 -3.267 6.118
Bi -6.548 1.482 13.985
Bi -0.073 -1.761 12.128
Bi -8.862 4.830 14.834
Bi -1.352 -1.374 4.565
Bi -6.804 1.764 18.879
Cu -12.075 4.292 16.900
Cu 2.398 -1.094 2.660
Cu -9.700 3.195 19.099
Cu -11.332 4.163 24.303
Cu -5.307 0.764 10.619
Cu -3.627 2.305 16.343
Cu 0.766 -0.125 7.863
Cu 3.140 -1.222 10.062
Pb -0.864 -1.758 0.056
Pb -7.365 3.967 10.851
! Size of the total moment ... 0.00 Bohr magnetons per cell
! Energy relative to the elements, uncorrected ... -0.29 eV/atom
! Volume ... 966 Å³/cell

---

No. 8
! PBE LiLaCo3, relaxed; values from VASP
&SYSTEM
  ibrav = 0, nat = 5, ntyp = 3
/
ATOMIC_SPECIES
La 138.91 La.upf
Co 58.93 Co.upf
Li 6.94 Li.upf
CELL_PARAMETERS angstrom
-3.641 0.648 2.081
-1.395 -3.805 -1.256
1.674 -1.762 3.478
ATOMIC_POSITIONS angstrom
La -1.681 -2.459 2.151
Co 0.837 -0.881 1.739
Co -1.820 0.324 1.040
Co -0.697 -1.903 -0.628
Li 0.000 0.000 0.000
! ΔE_f ... 2.7 eV per formula unit
! Distance to the lowest polymorph of the same formula ... 0 meV per atom
! Size of the total moment ... 2.60 Bohr magnetons per cell
! Volume ... 76 Å³/cell